Compound: LaSc2Ag
Source: Alexandria via LeMat-Bulk
Functional: GGA-PBE
Structure: optimized geometry

Results
Symmetry: No. 139
Offset from the most stable computed form, kJ/mol of atoms: 17.2
Electronic total energy, eV per atom: -5.016
Magnetization, μB per atom: 0.26

Cell lengths 5.971, 5.971, 5.971 Å; angles 135.61, 135.61, 64.59 degrees
Element x y z (fractional)
Ag: 0.250 0.750 0.500
Sc: 0.500 0.500 0.000
Sc: 0.000 0.000 0.000
La: 0.750 0.250 0.500